[1]
This record from the Alexandria database describes an optimized crystal structure of Sc2MoAs. The functional is GGA-PBEsol.

Values from the calculation:
Energy of formation from the pure elements ... -0.1354 eV/atom
Symmetry ... R3m

Lattice parameters (Å, degrees): 3.263 3.263 8.735 79.24 79.24 60.00
Last column: magnetic moment on the atom in μB.
Fractional coordinates of all 4 atoms:
Sc1 0.990 0.990 0.030  0.10
As1 0.508 0.508 0.476  0.00
Mo1 0.238 0.238 0.285  0.03
Sc2 0.764 0.764 0.708  0.38

[2]
This record from the Alexandria database describes an optimized crystal structure of ScMoAs2. The functional is GGA-PBEsol.

Values from the calculation:
Energy of formation from the pure elements ... -0.4371 eV/atom
Symmetry ... P4/mmm
Relative energy among the computed polymorphs ... 0.00 eV per formula unit

Lattice parameters (Å, degrees): 3.188 4.511 4.511 90.00 90.00 90.00
Fractional coordinates of all 4 atoms:
As1 0.000 0.500 0.000
Sc1 0.500 0.000 0.000
Mo1 0.500 0.500 0.500
As2 0.000 0.000 0.500

[3]
This record from the Alexandria database describes an optimized crystal structure of ScMo2As. The functional is GGA-PBEsol.

Values from the calculation:
Energy of formation from the pure elements ... -0.0040 eV/atom
Symmetry ... R3m

Lattice parameters (Å, degrees): 3.133 3.133 8.290 79.11 79.11 60.00
Fractional coordinates of all 4 atoms:
Mo1 0.999 0.999 0.002
Sc1 0.499 0.499 0.502
As1 0.257 0.257 0.228
Mo2 0.744 0.744 0.768

[4]
This record from the Alexandria database describes an optimized crystal structure of ScMo2As. The functional is GGA-PBEsol.

Values from the calculation:
Energy of formation from the pure elements ... -0.0432 eV/atom
Symmetry ... Cmm2

Lattice parameters (Å, degrees): 2.905 2.905 8.373 90.00 90.00 110.68
Fractional coordinates of all 4 atoms:
Mo1 0.000 0.000 0.002
Sc1 0.000 0.000 0.495
Mo2 0.500 0.500 0.763
As1 0.500 0.500 0.241

[5]
This record from the Alexandria database describes an optimized crystal structure of Sc2MoAs. The functional is GGA-PBEsol.

Values from the calculation:
Energy of formation from the pure elements ... -0.4852 eV/atom
Symmetry ... P4/mmm

Lattice parameters (Å, degrees): 3.446 3.446 5.877 90.00 90.00 90.00
Fractional coordinates of all 4 atoms:
Sc1 0.000 0.000 0.247
As1 0.500 0.500 0.000
Sc2 0.000 0.000 0.753
Mo1 0.500 0.500 0.500

[6]
This record from the Alexandria database describes an optimized crystal structure of ScMo2As. The functional is GGA-PBEsol.

Values from the calculation:
Energy of formation from the pure elements ... 0.0171 eV/atom
Symmetry ... C2/m

Lattice parameters (Å, degrees): 3.022 4.598 5.426 114.82 105.80 90.82
Fractional coordinates of all 4 atoms:
Mo1 0.500 0.500 0.500
Mo2 0.000 0.000 0.500
As1 0.000 0.500 0.000
Sc1 0.500 0.000 0.000

[7]
This record from the Alexandria database describes an optimized crystal structure of MoAsSe2. The functional is GGA-PBEsol.

Values from the calculation:
Symmetry ... R-3m

Lattice parameters (Å, degrees): 3.160 3.160 8.686 79.52 79.52 60.00
Fractional coordinates of all 4 atoms:
Se1 0.736 0.736 0.792
As1 0.500 0.500 0.500
Mo1 0.000 0.000 0.000
Se2 0.264 0.264 0.208

[8]
This record from the Alexandria database describes an optimized crystal structure of Mo2AsSe. The functional is GGA-PBEsol.

Values from the calculation:
Symmetry ... C2/m
Relative energy among the computed polymorphs ... 0.03 eV per formula unit

Lattice parameters (Å, degrees): 3.034 4.989 4.989 106.82 105.89 105.89
Fractional coordinates of all 4 atoms:
As1 0.500 0.500 0.500
Se1 0.500 0.000 0.000
Mo1 0.000 0.500 0.000
Mo2 0.000 0.000 0.500

[9]
This record from the Alexandria database describes an optimized crystal structure of Mo2AsSe. The functional is GGA-PBEsol.

Values from the calculation:
Symmetry ... Pmmm
Relative energy among the computed polymorphs ... 0.00 eV per formula unit

Lattice parameters (Å, degrees): 3.096 4.030 5.138 90.00 90.00 90.00
Fractional coordinates of all 4 atoms:
As1 0.000 0.500 0.500
Se1 0.500 0.500 0.000
Mo1 0.000 0.000 0.000
Mo2 0.500 0.000 0.500

[10]
This record from the Alexandria database describes an optimized crystal structure of Mo3AsSe. The functional is GGA-PBEsol.

Values from the calculation:
Symmetry ... Pm-3m

Lattice parameters (Å, degrees): 4.572 4.572 4.572 90.00 90.00 90.00
Fractional coordinates of all 5 atoms:
Mo1 0.000 0.500 0.000
Se1 0.000 0.000 0.000
Mo2 0.000 0.000 0.500
Mo3 0.500 0.000 0.000
As1 0.500 0.500 0.500

The records above yield N(E_F) values of 4.136, 2.939, 3.237, 3.819, 3.198, 3.160, 2.843, 3.639, 3.624, 7.700 states/eV per cell, respectively.
The records above yield uncorrected energy values of -30.63, -30.33, -35.26, -35.42, -32.03, -35.18, -25.05, -30.91, -30.93, -37.99 eV for the cell shown, respectively.